# PBE Dy6NpO12, relaxed
# **Formation energy from raw total energies**: -3.495 eV/atom
data_Dy6NpO12
_chemical_formula_sum 'Dy18 Np3 O36'
_cell_length_a 9.9750
_cell_length_b 9.9750
_cell_length_c 9.4448
_cell_angle_alpha 90.00
_cell_angle_beta 90.00
_cell_angle_gamma 120.00
_symmetry_space_group_name_H-M 'R -3'
_symmetry_Int_Tables_number 148
_symmetry_space_group_name_Hall '-R 3'
loop_
_atom_site_label
_atom_site_type_symbol
_atom_site_fract_x
_atom_site_fract_y
_atom_site_fract_z
Dy1 Dy 0.0381 0.7865 0.1410
Np1 Np 0.0000 0.0000 0.5000
O1 O 0.0309 0.8100 0.8986
O2 O 0.0355 0.8412 0.3867